The following is a DFT calculation (PBE) of a relaxed FeHgOsAu2 crystal.

POSCAR file:
```
FeHgOsAu2
1.0
-0.612 -4.982 0.678
2.050 -0.880 -4.614
4.602 -0.279 2.098
Au Hg Fe Os
2 1 1 1
Cartesian
2.301 -0.140 1.049
-0.306 -2.491 0.339
0.000 0.000 0.000
3.020 -3.071 -0.919
1.025 -0.440 -2.307
```

For the calculated formation energy, the calculation gives 10.2 eV per formula unit. The total magnetization is 1.1269 μB/atom.



The following is a DFT calculation (PBE) of a relaxed FeHgPt2Au crystal.

POSCAR file:
```
FeHgPt2Au
1.0
5.043 0.000 0.000
0.000 5.047 0.000
0.000 0.000 5.043
Pt Fe Hg Au
2 1 1 1
Cartesian
2.521 0.000 0.000
0.000 0.000 2.521
2.521 2.524 2.521
0.000 0.000 0.000
0.000 2.524 0.000
```

For the calculated formation energy, the calculation gives 7.7 eV per formula unit. The total magnetization is 0.7216 μB/atom.



The following is a DFT calculation (PBE) of a relaxed Sc2FeHgAu crystal.

POSCAR file:
```
Sc2FeHgAu
1.0
-0.306 -4.286 -2.855
-2.140 -2.479 3.951
-4.679 1.426 -1.640
Fe Au Sc Hg
1 1 2 1
Cartesian
-3.563 -2.669 -0.272
0.000 0.000 0.000
-0.153 -2.143 -1.427
-2.340 0.713 -0.820
-1.070 -1.239 1.976
```

For the calculated formation energy, the calculation gives 3.3 eV per formula unit. The total magnetization is 0.4423 μB/atom.



The following is a DFT calculation (PBE) of a relaxed FeSnHgAu2 crystal.

POSCAR file:
```
FeSnHgAu2
1.0
5.215 0.000 0.000
0.000 5.484 0.000
0.000 0.000 5.215
Sn Hg Fe Au
1 1 1 2
Cartesian
0.000 0.000 0.000
0.000 2.742 0.000
2.608 2.742 2.608
0.000 0.000 2.608
2.608 0.000 0.000
```

For the calculated formation energy, the calculation gives 4.9 eV per formula unit. The total magnetization is 0.7884 μB/atom.